This record from the Alexandria database describes a relaxed structure of TbSc3Zn8. The functional is PBE-GGA.

a = 5.346 Å, b = 5.346 Å, c = 8.534 Å
α = 90.00°, β = 90.00°, γ = 120.00°
Positions (direct):
Tb 0.000 0.000 0.000
Sc 0.000 0.000 0.380
Sc 0.667 0.333 0.490
Sc 0.667 0.333 0.863
Zn 0.163 0.327 0.680
Zn 0.163 0.837 0.680
Zn 0.333 0.667 0.434
Zn 0.333 0.667 0.934
Zn 0.504 0.009 0.188
Zn 0.504 0.496 0.188
Zn 0.673 0.837 0.680
Zn 0.991 0.496 0.188

Properties
Crystal system: trigonal
ΔH_f (0 K) in eV per atom: -0.3267
Symmetry: No. 156
ΔE to the lowest computed polymorph in meV/atom: 2

***

This record from the Alexandria database describes a relaxed structure of CeSiBPt6. The functional is PBE-GGA.

a = 7.751 Å, b = 7.751 Å, c = 7.751 Å
α = 124.46°, β = 116.87°, γ = 88.98°
Positions (direct):
Ce 0.421 0.171 0.250
Ce 0.579 0.829 0.750
Si 0.000 0.000 0.500
Si 0.000 0.500 0.000
B 0.000 0.500 0.500
B 0.500 0.500 0.000
Pt 0.109 0.399 0.260
Pt 0.109 0.848 0.709
Pt 0.136 0.886 0.250
Pt 0.313 0.563 0.750
Pt 0.361 0.152 0.760
Pt 0.361 0.601 0.209
Pt 0.639 0.399 0.791
Pt 0.639 0.848 0.240
Pt 0.687 0.437 0.250
Pt 0.864 0.114 0.750
Pt 0.891 0.152 0.291
Pt 0.891 0.601 0.740

Properties
Crystal system: orthorhombic
Symmetry: No. 74
Raw formation energy in eV per formula unit: -5.2